{
  "formula": "Pm2NdGa6",
  "functional": "PBE",
  "state": "relaxed",
  "final_energy_ev_per_atom": -4.289,
  "dos_at_fermi_per_ev_atom": 0.631,
  "polymorph_energy_ev_per_fu": 0.00,
  "formation_energy_kj_per_mol_atoms": -66.19,
  "cell": [[4.2779, 0.0000, 0.0000], [0.0000, 6.4002, -3.6951], [0.0000, 0.0000, 7.3903]],
  "species": ["Pm", "Ga", "Ga", "Ga", "Ga", "Pm", "Ga", "Nd", "Ga"],
  "fractional_positions": [[0.0000, 0.6667, 0.3333], [0.5000, 0.3337, 0.0000], [0.5000, 0.6663, 0.6663], [0.5000, 0.0000, 0.6663], [0.5000, 0.0000, 0.3337], [0.0000, 0.3333, 0.6667], [0.5000, 0.6663, 0.0000], [0.0000, 0.0000, 0.0000], [0.5000, 0.3337, 0.3337]]
}